[1]
## Na2Sr8In (GGA-PBE)

Data for an optimized crystal structure of Na2Sr8In.

a = 6.185 Å, b = 8.026 Å, c = 10.967 Å
α = 95.71°, β = 106.38°, γ = 90.00°
Element x y z (fractional)
Sr (0.785, 0.370, 0.569)
Sr (0.971, 0.227, 0.942)
Sr (0.340, 0.081, 0.681)
Sr (0.029, 0.773, 0.058)
Sr (0.587, 0.404, 0.174)
Sr (0.660, 0.919, 0.319)
Sr (0.413, 0.596, 0.826)
Sr (0.215, 0.630, 0.431)
In (0.500, 0.000, 0.000)
Na (0.158, 0.171, 0.317)
Na (0.842, 0.829, 0.683)

## Properties
Formation energy = -0.06 eV per atom
DOS at the Fermi energy = 10.79 states/eV per cell
E_tot = -1.772 eV/atom
SG = C2/m, No. 12
V = 519 Å³ per cell
Total magnetization = 0.00 Bohr magnetons per cell

=====

[2]
## ReTcW2 (GGA-PBE)

Data for an optimized crystal structure of ReTcW2.

a = 4.443 Å, b = 4.443 Å, c = 4.443 Å
α = 60.00°, β = 60.00°, γ = 60.00°
Element x y z (fractional)
Re (0.500, 0.500, 0.500)
Tc (0.000, 0.000, 0.000)
W (0.250, 0.250, 0.250)
W (0.750, 0.750, 0.750)

## Properties
Formation energy = 0.08 eV per atom
DOS at the Fermi energy = 3.23 states/eV per cell
ΔE to the lowest computed polymorph = 0 meV per atom
E_tot = -12.104 eV/atom
SG = Fm-3m, No. 225
V = 62 Å³ per cell
Total magnetization = 0.00 Bohr magnetons per cell